(1)
Pa3Ni4Ge4 (PBE-GGA, relaxed); magnetization = 0.0 μB/f.u.; ΔH_f (0 K) = -0.600 eV/atom; raw total energy = -76.69 eV per cell; energy above the lowest structure with this stoichiometry = 0.0000 eV per atom
1.0
-1.980 2.065 11.771
1.980 -2.065 11.771
1.980 2.065 -11.771
Pa Ni Ge
3 4 4
Direct
0.000 0.000 0.000
0.349 0.849 0.500
0.651 0.151 0.500
0.096 0.596 0.500
0.252 0.252 0.000
0.748 0.748 0.000
0.904 0.404 0.500
0.196 0.696 0.500
0.447 0.447 0.000
0.553 0.553 0.000
0.804 0.304 0.500


(2)
Pa2Ni5Ge3 (PBE-GGA, relaxed); magnetization = 0.0 μB/f.u.; ΔH_f (0 K) = -0.512 eV/atom; raw total energy = -133.74 eV per cell; energy above the lowest structure with this stoichiometry = 0.0000 eV per atom
1.0
-5.076 5.379 2.867
5.076 -5.379 2.867
5.076 5.379 -2.867
Pa Ni Ge
4 10 6
Direct
0.125 0.232 0.357
0.375 0.732 0.107
0.625 0.268 0.893
0.875 0.768 0.643
0.019 0.750 0.269
0.113 0.656 0.769
0.250 0.250 0.000
0.387 0.156 0.543
0.481 0.750 0.731
0.519 0.250 0.269
0.613 0.844 0.457
0.750 0.750 0.000
0.887 0.344 0.231
0.981 0.250 0.731
0.135 0.884 0.019
0.250 0.750 0.500
0.365 0.384 0.748
0.635 0.616 0.252
0.750 0.250 0.500
0.865 0.116 0.981


(3)
Pa3Ni3Ge2 (PBE-GGA, relaxed); magnetization = 0.0 μB/f.u.; ΔH_f (0 K) = -0.513 eV/atom; raw total energy = -118.34 eV per cell
1.0
2.072 -5.184 0.000
2.072 5.184 0.000
0.000 0.000 13.581
Pa Ni Ge
6 6 4
Direct
0.078 0.922 0.605
0.078 0.922 0.895
0.368 0.632 0.750
0.632 0.368 0.250
0.922 0.078 0.105
0.922 0.078 0.395
0.359 0.641 0.250
0.387 0.613 0.539
0.387 0.613 0.961
0.613 0.387 0.039
0.613 0.387 0.461
0.641 0.359 0.750
0.211 0.789 0.102
0.211 0.789 0.398
0.789 0.211 0.602
0.789 0.211 0.898


(4)
Pa2Ni2Ge (PBE-GGA, relaxed); magnetization = 0.0 μB/f.u.; ΔH_f (0 K) = -0.512 eV/atom; raw total energy = -75.47 eV per cell
1.0
6.942 0.000 0.000
0.000 6.942 0.000
0.000 0.000 3.813
Pa Ni Ge
4 4 2
Direct
0.180 0.320 0.000
0.320 0.820 0.000
0.680 0.180 0.000
0.820 0.680 0.000
0.127 0.627 0.500
0.373 0.127 0.500
0.627 0.873 0.500
0.873 0.373 0.500
0.000 0.000 0.500
0.500 0.500 0.500


(5)
Pa2NiGe2 (PBE-GGA, relaxed); magnetization = 0.0 μB/f.u.; ΔH_f (0 K) = -0.525 eV/atom; raw total energy = -73.27 eV per cell; energy above the lowest structure with this stoichiometry = 0.0000 eV per atom
1.0
5.332 -1.996 0.000
5.332 1.996 0.000
-4.925 0.000 9.522
Pa Ni Ge
4 2 4
Direct
0.097 0.097 0.397
0.294 0.294 0.851
0.706 0.706 0.149
0.903 0.903 0.603
0.433 0.433 0.193
0.567 0.567 0.807
0.046 0.046 0.913
0.360 0.360 0.376
0.640 0.640 0.624
0.954 0.954 0.087


(6)
PaNiGe (PBE-GGA, relaxed); magnetization = 0.0 μB/f.u.; ΔH_f (0 K) = -0.542 eV/atom; raw total energy = -21.52 eV per cell
1.0
0.000 3.091 3.091
3.091 0.000 3.091
3.091 3.091 0.000
Pa Ni Ge
1 1 1
Direct
0.000 0.000 0.000
0.750 0.750 0.750
0.500 0.500 0.500


(7)
Pa2NiGe3 (PBE-GGA, relaxed); magnetization = 0.0 μB/f.u.; ΔH_f (0 K) = -0.474 eV/atom; raw total energy = -82.94 eV per cell; energy above the lowest structure with this stoichiometry = 0.0000 eV per atom
1.0
0.000 4.146 7.164
3.964 0.000 7.164
3.964 4.146 0.000
Pa Ni Ge
4 2 6
Direct
0.248 0.752 0.752
0.250 0.250 0.250
0.750 0.750 0.750
0.752 0.248 0.248
0.336 0.336 0.664
0.664 0.664 0.336
0.171 0.656 0.344
0.176 0.176 0.824
0.344 0.829 0.171
0.656 0.171 0.829
0.824 0.824 0.176
0.829 0.344 0.656


(8)
PaNi6Ge2 (PBE-GGA, relaxed); magnetization = 0.0 μB/f.u.; ΔH_f (0 K) = -0.131 eV/atom; raw total energy = -54.59 eV per cell
1.0
-1.695 3.023 6.280
1.695 -3.023 6.280
1.695 3.023 -6.280
Pa Ni Ge
1 6 2
Direct
0.000 0.000 0.000
0.025 0.318 0.707
0.314 0.500 0.814
0.390 0.682 0.707
0.610 0.318 0.293
0.686 0.500 0.186
0.975 0.682 0.293
0.355 0.855 0.500
0.645 0.145 0.500


> Which value of ΔH_f (0 K) does entry 5 give?

-0.525 eV/atom


> raw total energy of number 8 (PaNi6Ge2)?

-54.59 eV per cell


Copy entry 7 word for word.
Pa2NiGe3 (PBE-GGA, relaxed); magnetization = 0.0 μB/f.u.; ΔH_f (0 K) = -0.474 eV/atom; raw total energy = -82.94 eV per cell; energy above the lowest structure with this stoichiometry = 0.0000 eV per atom
1.0
0.000 4.146 7.164
3.964 0.000 7.164
3.964 4.146 0.000
Pa Ni Ge
4 2 6
Direct
0.248 0.752 0.752
0.250 0.250 0.250
0.750 0.750 0.750
0.752 0.248 0.248
0.336 0.336 0.664
0.664 0.664 0.336
0.171 0.656 0.344
0.176 0.176 0.824
0.344 0.829 0.171
0.656 0.171 0.829
0.824 0.824 0.176
0.829 0.344 0.656